# GaAs (meta-GGA SCAN, single point on PBEsol structure)
# Symmetry ... F-43m (216)
# Formation enthalpy at 0 K ... -0.788 eV/f.u.
data_GaAs
_chemical_formula_sum 'Ga1 As1'
_cell_length_a 4.002
_cell_length_b 4.002
_cell_length_c 4.002
_cell_angle_alpha 60.00
_cell_angle_beta 60.00
_cell_angle_gamma 60.00
_space_group_name_H-M_alt 'P 1'
_space_group_IT_number 1
loop_
_space_group_symop_operation_xyz
'x,y,z'
loop_
_atom_site_label
_atom_site_type_symbol
_atom_site_fract_x
_atom_site_fract_y
_atom_site_fract_z
Ga1 Ga 0.000 0.000 0.000
As1 As 0.750 0.750 0.750